Record 1
Compound: Pt2Au13
Source: Alexandria via LeMat-Bulk
Functional: PBE
Structure: relaxed

a = 8.239 Å, b = 8.239 Å, c = 8.239 Å
α = 55.22°, β = 55.22°, γ = 55.22°
Fractional positions:
Pt  0.227  0.227  0.227
Pt  0.773  0.773  0.773
Au  0.000  0.000  0.000
Au  0.014  0.014  0.643
Au  0.014  0.643  0.014
Au  0.226  0.226  0.585
Au  0.226  0.585  0.226
Au  0.357  0.986  0.986
Au  0.415  0.774  0.774
Au  0.585  0.226  0.226
Au  0.643  0.014  0.014
Au  0.774  0.415  0.774
Au  0.774  0.774  0.415
Au  0.986  0.357  0.986
Au  0.986  0.986  0.357

Summary:
space-group type: R-3m, No. 166
magnetic moment: 0.0 Bohr magnetons per cell
formation enthalpy at 0 K: 0.282 eV/atom

Record 2
Compound: Pt4Au
Source: Alexandria via LeMat-Bulk
Functional: PBE
Structure: relaxed

a = 4.924 Å, b = 4.924 Å, c = 4.924 Å
α = 99.35°, β = 99.35°, γ = 132.45°
Fractional positions:
Pt  0.102  0.304  0.406
Pt  0.304  0.898  0.202
Pt  0.696  0.102  0.798
Pt  0.898  0.696  0.594
Au  0.500  0.500  0.000

Summary:
space-group type: I4/m, No. 87
magnetic moment: 0.0 Bohr magnetons per cell
formation enthalpy at 0 K: 0.042 eV/atom

Record 3
Compound: Pt3Au5
Source: Alexandria via LeMat-Bulk
Functional: PBE
Structure: relaxed

a = 7.836 Å, b = 7.836 Å, c = 7.828 Å
α = 96.23°, β = 96.23°, γ = 141.30°
Fractional positions:
Pt  0.169  0.831  0.000
Pt  0.264  0.736  0.500
Pt  0.419  0.419  0.658
Pt  0.581  0.581  0.342
Pt  0.736  0.264  0.500
Pt  0.831  0.169  0.000
Au  0.023  0.223  0.353
Au  0.223  0.023  0.353
Au  0.230  0.230  0.956
Au  0.253  0.595  0.809
Au  0.405  0.747  0.191
Au  0.595  0.253  0.809
Au  0.747  0.405  0.191
Au  0.770  0.770  0.044
Au  0.777  0.977  0.647
Au  0.977  0.777  0.647

Summary:
space-group type: C2/m, No. 12
magnetic moment: 0.0 Bohr magnetons per cell
formation enthalpy at 0 K: 0.163 eV/atom

Record 4
Compound: Pt5Au
Source: Alexandria via LeMat-Bulk
Functional: PBE
Structure: relaxed

a = 6.348 Å, b = 6.348 Å, c = 3.962 Å
α = 90.00°, β = 90.00°, γ = 142.90°
Fractional positions:
Pt  0.000  0.000  0.000
Pt  0.166  0.834  0.500
Pt  0.330  0.670  0.000
Pt  0.670  0.330  0.000
Pt  0.834  0.166  0.500
Au  0.500  0.500  0.500

Summary:
space-group type: Cmmm, No. 65
magnetic moment: 0.0 Bohr magnetons per cell
formation enthalpy at 0 K: 0.034 eV/atom

Record 5
Compound: Pt2Au7
Source: Alexandria via LeMat-Bulk
Functional: PBE
Structure: relaxed

a = 8.019 Å, b = 8.019 Å, c = 2.858 Å
α = 90.00°, β = 90.00°, γ = 120.00°
Fractional positions:
Pt  0.333  0.667  0.000
Pt  0.667  0.333  0.000
Au  0.000  0.000  0.500
Au  0.000  0.362  0.500
Au  0.000  0.690  0.000
Au  0.310  0.310  0.000
Au  0.362  0.000  0.500
Au  0.638  0.638  0.500
Au  0.690  0.000  0.000

Summary:
space-group type: P-62m, No. 189
magnetic moment: 0.0 Bohr magnetons per cell
formation enthalpy at 0 K: 0.071 eV/atom

Record 6
Compound: PtAu5
Source: Alexandria via LeMat-Bulk
Functional: PBE
Structure: relaxed

a = 6.470 Å, b = 6.470 Å, c = 4.122 Å
α = 90.00°, β = 90.00°, γ = 142.26°
Fractional positions:
Pt  0.000  0.000  0.000
Au  0.164  0.836  0.500
Au  0.334  0.666  0.000
Au  0.500  0.500  0.500
Au  0.666  0.334  0.000
Au  0.836  0.164  0.500

Summary:
space-group type: Cmmm, No. 65
magnetic moment: 0.0 Bohr magnetons per cell
formation enthalpy at 0 K: 0.020 eV/atom

Record 7
Compound: Pt3Au5
Source: Alexandria via LeMat-Bulk
Functional: PBE
Structure: relaxed

a = 2.828 Å, b = 9.859 Å, c = 4.951 Å
α = 90.00°, β = 90.37°, γ = 90.00°
Fractional positions:
Pt  0.000  0.000  0.000
Pt  0.000  0.500  0.000
Pt  0.500  0.000  0.500
Au  0.249  0.248  0.751
Au  0.249  0.752  0.751
Au  0.500  0.500  0.500
Au  0.751  0.248  0.249
Au  0.751  0.752  0.249

Summary:
space-group type: P2/m, No. 10
magnetic moment: 0.0 Bohr magnetons per cell
formation enthalpy at 0 K: 0.050 eV/atom

Record 8
Compound: Pt4Au
Source: Alexandria via LeMat-Bulk
Functional: PBE
Structure: relaxed

a = 6.978 Å, b = 6.978 Å, c = 6.978 Å
α = 149.01°, β = 149.01°, γ = 44.40°
Fractional positions:
Pt  0.099  0.099  0.000
Pt  0.250  0.750  0.500
Pt  0.750  0.250  0.500
Pt  0.901  0.901  0.000
Au  0.500  0.500  0.000

Summary:
space-group type: I4/mmm, No. 139
magnetic moment: 0.0 Bohr magnetons per cell
formation enthalpy at 0 K: 0.312 eV/atom